Material: ReSiTe2N
Method: DFT, GGA-PBE
State: optimized geometry

Cell: 5.422 5.422 3.723 Å, 90.00 90.00 90.00°
Positions (direct):
Si  0.500  0.500  0.500
Te  0.000  0.500  0.000
Te  0.500  0.000  0.000
Re  0.000  0.000  0.000
N  0.000  0.000  0.500

Output
As for the crystal system: tetragonal. The value obtained for the size of the total moment is 0.0 μB per formula unit. The density of states at the Fermi level comes out at 4.22 states/eV/f.u. The formation energy from raw total energies is 0.5550 eV/atom. For the total energy, the calculation gives -5.941 eV per atom.